(1)
BaLiDy2S4 | the Alexandria database | PBE-GGA | relaxed; N(E_F) = 0.234 states/eV per atom
1.0
4.050 0.000 0.000
-2.025 6.691 0.000
0.000 0.000 13.703
Ba Li Dy S
2 2 4 8
Direct
0.115 0.229 0.750
0.885 0.771 0.250
0.843 0.685 0.750
0.157 0.315 0.250
0.372 0.744 0.555
0.628 0.256 0.055
0.628 0.256 0.445
0.372 0.744 0.945
0.264 0.528 0.113
0.736 0.472 0.613
0.736 0.472 0.887
0.264 0.528 0.387
0.000 0.000 0.500
0.000 0.000 0.000
0.434 0.867 0.750
0.566 0.133 0.250

=====

(2)
BaLi2DySb2 | the Alexandria database | PBE-GGA | relaxed; N(E_F) = 0.537 states/eV per atom
1.0
4.817 0.000 0.000
-2.409 4.172 0.000
0.000 0.000 8.091
Ba Li Dy Sb
1 2 1 2
Direct
0.000 0.000 0.000
0.333 0.667 0.681
0.667 0.333 0.319
0.000 0.000 0.500
0.333 0.667 0.288
0.667 0.333 0.712

=====

(3)
Ba4LiDy3Se8 | the Alexandria database | PBE-GGA | relaxed; N(E_F) = 0.298 states/eV per atom
1.0
-5.360 -2.834 6.174
-3.613 -5.673 -5.740
8.556 -0.156 1.292
Ba Li Dy Se
4 1 3 8
Direct
0.500 0.000 0.000
0.500 0.000 0.500
0.000 0.000 0.000
0.000 0.000 0.500
0.000 0.500 0.000
0.500 0.500 0.000
0.500 0.500 0.500
0.000 0.500 0.500
0.239 0.711 0.972
0.239 0.711 0.477
0.262 0.287 0.525
0.734 0.711 0.972
0.266 0.289 0.028
0.738 0.713 0.475
0.761 0.289 0.523
0.761 0.289 0.028

=====

(4)
BaLiDy2Se4 | the Alexandria database | PBE-GGA | relaxed; N(E_F) = 0.252 states/eV per atom
1.0
4.232 0.000 0.000
-2.116 6.957 0.000
0.000 0.000 14.316
Ba Li Dy Se
2 2 4 8
Direct
0.117 0.234 0.750
0.883 0.766 0.250
0.845 0.690 0.750
0.155 0.310 0.250
0.373 0.746 0.556
0.627 0.254 0.056
0.627 0.254 0.444
0.373 0.746 0.944
0.265 0.530 0.113
0.735 0.470 0.613
0.735 0.470 0.887
0.265 0.530 0.387
0.000 0.000 0.500
0.000 0.000 0.000
0.438 0.875 0.750
0.562 0.125 0.250

=====

(5)
BaLiDy2Te4 | the Alexandria database | PBE-GGA | relaxed; N(E_F) = 0.305 states/eV per atom
1.0
4.525 0.000 0.000
-2.263 7.411 0.000
0.000 0.000 15.390
Ba Li Dy Te
2 2 4 8
Direct
0.122 0.245 0.750
0.878 0.755 0.250
0.848 0.696 0.750
0.152 0.304 0.250
0.374 0.748 0.558
0.626 0.252 0.058
0.626 0.252 0.442
0.374 0.748 0.942
0.266 0.532 0.112
0.734 0.468 0.612
0.734 0.468 0.888
0.266 0.532 0.388
0.000 0.000 0.500
0.000 0.000 0.000
0.445 0.889 0.750
0.555 0.111 0.250

=====

(6)
VASP calculation (PBE-GGA) on crystalline BaLiDyTe3 at its relaxed geometry.

The structure in POSCAR format:
```
BaLiDyTe3
1.0
4.552 0.000 0.000
-2.276 7.523 0.000
0.000 0.000 11.506
Ba Li Dy Te
2 2 2 6
Direct
0.751 0.502 0.750
0.249 0.498 0.250
0.473 0.945 0.750
0.527 0.055 0.250
0.000 0.000 0.500
0.000 0.000 0.000
0.635 0.271 0.443
0.365 0.729 0.557
0.365 0.729 0.943
0.635 0.271 0.057
0.074 0.148 0.750
0.926 0.852 0.250
```

=====

Number 1: electronic total energy -0.207 hartree per atom. Number 2: electronic total energy -0.146 hartree per atom. Number 3: electronic total energy -0.186 hartree per atom. Number 4: electronic total energy -0.190 hartree per atom. Number 5: electronic total energy -0.169 hartree per atom. Number 6: electronic total energy -0.164 hartree per atom.